Version i
# SmHoBi2

Crystalline SmHoBi2 at its relaxed geometry (PBE, Alexandria).

Unit cell a=7.806 b=7.806 c=7.806 alpha=33.60 beta=33.60 gamma=33.60
Element x y z (fractional)
Sm 0.000 0.000 0.000
Ho 0.500 0.500 0.500
Bi 0.248 0.248 0.248
Bi 0.752 0.752 0.752

Results
Density   9.384 g/cm3
Total magnetic moment   0.000 μB per atom


Version ii
# SmHoBi2

Crystalline SmHoBi2 at its relaxed geometry (PBE, Alexandria).

Unit cell a=8.080 b=8.080 c=8.080 alpha=32.18 beta=32.18 gamma=32.18
Element x y z (fractional)
Sm 0.000 0.000 0.000
Ho 0.171 0.171 0.171
Bi 0.419 0.419 0.419
Bi 0.585 0.585 0.585

Results
Density   9.155 g/cm3
Total magnetic moment   0.000 μB per atom


Of the structures shown above, version i is the most stable.